Version P
The following is a DFT calculation (GGA-PBE) of SrCa2LaNi after structural relaxation.

extended XYZ file:
```
5
Lattice="5.578 0.000 0.000 0.000 5.578 0.000 0.000 0.000 5.756" Properties=species:S:1:pos:R:3 pbc="T T T"
Sr 0.000 0.000 2.878
Ca 0.000 2.789 0.000
Ca 2.789 0.000 0.000
Ni 0.000 0.000 0.000
La 2.789 2.789 2.878
```

=====

Version Q
The following is a DFT calculation (GGA-PBE) of SrCa2LaNi after structural relaxation.

extended XYZ file:
```
5
Lattice="5.818 0.000 0.000 0.000 5.818 0.000 0.000 0.000 5.380" Properties=species:S:1:pos:R:3 pbc="T T T"
Sr 2.909 2.909 2.690
Ca 0.000 2.909 0.000
Ca 2.909 0.000 0.000
Ni 0.000 0.000 0.000
La 0.000 0.000 2.690
```

=====

Which is most stable? The ranking, best first, is version Q, version P.

=====

Version P
The following is a DFT calculation (GGA-PBE) of CaLa2YNi after structural relaxation.

extended XYZ file:
```
5
Lattice="-1.889 -3.895 3.333 4.969 -0.516 2.213 -1.311 3.941 3.863" Properties=species:S:1:pos:R:3 pbc="T T T"
Y 0.884 -0.235 4.704
Ni 0.000 0.000 0.000
Ca -0.656 1.970 1.931
La 2.484 -0.258 1.106
La -0.944 -1.948 1.666
```

=====

Version Q
The following is a DFT calculation (GGA-PBE) of CaLa2YNi after structural relaxation.

extended XYZ file:
```
5
Lattice="-1.253 3.219 4.276 -0.898 -4.456 3.092 5.439 0.007 1.589" Properties=species:S:1:pos:R:3 pbc="T T T"
Y 2.720 0.003 0.794
Ni 0.000 0.000 0.000
Ca 1.644 -0.615 4.478
La -0.449 -2.228 1.546
La -0.627 1.610 2.138
```

=====

Which is most stable? The ranking, best first, is version Q, version P.

=====

Version P
The following is a DFT calculation (GGA-PBE) of CaLaY2Ni after structural relaxation.

extended XYZ file:
```
5
Lattice="-4.713 -2.161 1.949 2.654 -4.713 1.194 1.152 1.883 4.872" Properties=species:S:1:pos:R:3 pbc="T T T"
Y 1.327 -2.356 0.597
Y -2.357 -1.080 0.975
Ni 0.000 0.000 0.000
Ca -0.453 -2.495 4.008
La 0.576 0.941 2.436
```

=====

Version Q
The following is a DFT calculation (GGA-PBE) of CaLaY2Ni after structural relaxation.

extended XYZ file:
```
5
Lattice="-1.593 -4.226 2.877 4.019 -2.898 -2.031 3.283 1.616 4.191" Properties=species:S:1:pos:R:3 pbc="T T T"
Y 2.009 -1.449 -1.016
Y -0.796 -2.113 1.439
Ni 0.000 0.000 0.000
Ca 1.642 0.808 2.095
La 2.855 -2.754 2.518
```

=====

Which is most stable? The ranking, best first, is version P, version Q.

=====

Version P
The following is a DFT calculation (GGA-PBE) of CaLaZnNi after structural relaxation.

extended XYZ file:
```
4
Lattice="4.102 0.000 0.000 0.000 4.034 0.000 -2.051 0.000 5.972" Properties=species:S:1:pos:R:3 pbc="T T T"
Ca 0.000 0.000 1.764
La 2.051 2.017 4.352
Zn 2.051 2.017 0.763
Ni 0.000 0.000 5.065
```

=====

Version Q
The following is a DFT calculation (GGA-PBE) of CaLaZnNi after structural relaxation.

extended XYZ file:
```
4
Lattice="5.091 0.000 0.000 2.545 4.409 0.000 2.545 1.470 4.157" Properties=species:S:1:pos:R:3 pbc="T T T"
Ni 7.636 4.409 3.118
Zn 2.545 1.470 1.039
Ca 5.091 2.939 2.078
La 0.000 0.000 0.000
```

=====

Which is most stable? The ranking, best first, is version P, version Q.

=====

Version P
The following is a DFT calculation (GGA-PBE) of CaLaO2 after structural relaxation.

extended XYZ file:
```
4
Lattice="-2.772 -1.648 -1.157 0.353 -2.914 -1.767 -1.088 -4.776 4.337" Properties=species:S:1:pos:R:3 pbc="T T T"
Ca -1.757 -4.709 0.771
La -2.700 -7.804 2.365
O -1.012 -3.901 2.909
O -0.880 -2.370 0.411
```

=====

Version Q
The following is a DFT calculation (GGA-PBE) of CaLaO2 after structural relaxation.

extended XYZ file:
```
4
Lattice="0.018 -1.106 4.162 -3.093 1.443 2.625 -2.976 -2.717 1.519" Properties=species:S:1:pos:R:3 pbc="T T T"
Ca 0.000 0.000 0.000
O -1.513 -0.595 2.076
O -4.538 -1.784 6.229
La -3.025 -1.189 4.153
```

=====

Which is most stable? The ranking, best first, is version P, version Q.

=====

Version P
The following is a DFT calculation (GGA-PBE) of CaLaO2 after structural relaxation.

extended XYZ file:
```
8
Lattice="-4.234 -1.765 2.047 -0.882 -2.694 -4.147 5.111 -1.623 3.010" Properties=species:S:1:pos:R:3 pbc="T T T"
Ca -2.558 -2.229 -1.050
Ca 0.836 -3.273 -1.093
La -0.840 -2.809 2.003
La 0.000 0.000 0.000
O -1.319 -4.099 -0.099
O 2.075 -5.143 -0.142
O 1.314 -1.983 1.009
O -0.403 -1.403 -2.045
```

=====

Version Q
The following is a DFT calculation (GGA-PBE) of CaLaO2 after structural relaxation.

extended XYZ file:
```
8
Lattice="-3.286 4.378 0.153 -0.692 -0.708 5.386 2.359 5.063 3.753" Properties=species:S:1:pos:R:3 pbc="T T T"
Ca -1.989 1.835 2.770
Ca -0.161 3.095 5.954
O -1.549 3.912 1.707
O -0.255 1.372 4.324
O 0.277 5.174 4.894
O -1.711 7.009 7.660
La 0.000 0.000 0.000
La -1.458 5.638 3.338
```

=====

Which is most stable? The ranking, best first, is version P, version Q.